# 1
Density functional theory data (GGA-PBE) for crystalline Al2FeW at its relaxed geometry.

```
4
Lattice="5.151 -0.002 0.001 2.525 4.489 -0.001 -3.350 -3.078 2.415" Properties=species:S:1:pos:R:3 pbc="T T T"
Al 7.632 4.462 0.000
Al 1.704 1.943 1.207
Fe 3.836 2.242 0.000
W 2.668 -0.507 1.208
```

Calculated values
DFT total energy	-29.1	eV for the cell shown
calculated volume	55.9	Å³ per cell
distance to the lowest polymorph of the same formula	91	meV per atom
E_form	-50.1	meV per atom

---

# 2
Density functional theory data (GGA-PBE) for crystalline Cs3VTc at its relaxed geometry.

```
5
Lattice="-0.867 -5.821 1.195 5.910 -0.718 0.789 -0.622 1.290 5.832" Properties=species:S:1:pos:R:3 pbc="T T T"
Cs 2.955 -0.359 0.395
Cs -0.311 0.645 2.916
Cs -0.433 -2.910 0.598
Tc 0.000 0.000 0.000
V 2.210 -2.624 3.908
```

Calculated values
DFT total energy	-13.0	eV for the cell shown
calculated volume	216.6	Å³ per cell
E_form	1817.4	meV per atom

---

# 3
Density functional theory data (GGA-PBE) for crystalline DyPu6Se8 at its relaxed geometry.

```
15
Lattice="7.181 0.000 4.146 2.394 6.770 4.146 0.000 0.000 8.292" Properties=species:S:1:pos:R:3 pbc="T T T"
Se 3.578 5.095 6.197
Se 7.181 5.078 12.438
Se 7.206 5.095 8.292
Se 2.394 1.693 4.146
Se 3.578 5.095 10.386
Se 5.996 1.675 10.386
Se 5.996 1.675 6.197
Se 2.369 1.675 8.292
Pu 0.000 0.000 4.146
Pu 3.590 0.000 2.073
Pu 4.787 3.385 4.146
Pu 1.197 3.385 6.219
Pu 3.590 0.000 6.219
Pu 1.197 3.385 2.073
Dy 0.000 0.000 0.000
```

Calculated values
DFT total energy	-142.3	eV for the cell shown
calculated volume	403.1	Å³ per cell

---

# 4
Density functional theory data (GGA-PBE) for crystalline SrLa at its relaxed geometry.

```
4
Lattice="6.395 0.000 0.000 -3.198 5.539 0.000 0.000 0.000 5.947" Properties=species:S:1:pos:R:3 pbc="T T T"
La 0.000 0.000 2.973
La 0.000 0.000 0.000
Sr 3.198 1.846 4.460
Sr 0.000 3.692 1.487
```

Calculated values
DFT total energy	-11.0	eV for the cell shown
calculated volume	210.6	Å³ per cell
distance to the lowest polymorph of the same formula	505	meV per atom
E_form	566.5	meV per atom

---

# 5
Density functional theory data (GGA-PBE) for crystalline Na2Sn2Au at its relaxed geometry.

```
10
Lattice="-4.205 1.806 -5.513 0.479 -6.678 -2.553 -4.160 -1.344 2.733" Properties=species:S:1:pos:R:3 pbc="T T T"
Na -2.470 -4.834 -1.274
Na -5.415 -1.381 -4.060
Na -3.391 -1.203 -0.890
Na -4.495 -5.012 -4.444
Sn -1.097 -5.087 -4.171
Sn -3.304 -2.730 -6.372
Sn -2.628 0.215 -3.896
Sn -0.422 -2.141 -1.695
Au -1.863 -2.436 -4.033
Au 0.000 0.000 0.000
```

Calculated values
DFT total energy	-30.3	eV for the cell shown
calculated volume	264.7	Å³ per cell
E_form	-250.3	meV per atom

---

# 6
Density functional theory data (GGA-PBE) for crystalline Sc3As at its relaxed geometry.

```
16
Lattice="-2.021 2.625 -4.381 -8.336 0.193 0.517 -0.610 8.152 1.722" Properties=species:S:1:pos:R:3 pbc="T T T"
Sc -8.430 2.559 -3.169
Sc -1.666 4.596 -1.652
Sc -10.316 7.693 -2.693
Sc -9.330 7.726 0.307
Sc -0.636 1.944 -0.281
Sc -7.149 7.819 -2.215
Sc -3.537 9.710 -1.142
Sc -6.837 4.627 -1.092
Sc -3.740 3.049 0.241
Sc -4.206 6.443 -1.218
Sc -3.989 8.083 1.528
Sc -5.961 1.566 -1.466
As -8.403 5.542 -3.296
As -6.453 6.933 0.407
As -4.418 3.912 -2.341
As -2.659 5.552 0.946
```

Calculated values
DFT total energy	-106.1	eV for the cell shown
calculated volume	341.9	Å³ per cell
E_form	-717.8	meV per atom

---

# 7
Density functional theory data (GGA-PBE) for crystalline ErTm3S4 at its relaxed geometry.

```
8
Lattice="3.813 0.000 0.000 0.000 6.329 -2.146 0.000 -0.041 6.683" Properties=species:S:1:pos:R:3 pbc="T T T"
Tm 1.907 3.144 2.269
Tm 0.000 3.165 -1.073
Tm 0.000 -0.021 3.342
S 0.000 1.581 1.141
S 0.000 4.707 3.396
S 1.907 4.732 0.068
S 1.907 1.556 4.469
Er 1.907 0.000 0.000
```

Calculated values
DFT total energy	-49.9	eV for the cell shown
calculated volume	161.0	Å³ per cell
distance to the lowest polymorph of the same formula	0	meV per atom

---

# 8
Density functional theory data (GGA-PBE) for crystalline NbFe2ReH at its relaxed geometry.

```
5
Lattice="3.796 0.000 0.000 0.000 3.796 0.000 0.000 0.000 3.899" Properties=species:S:1:pos:R:3 pbc="T T T"
Fe 0.000 1.898 0.000
Fe 1.898 0.000 0.000
H 0.000 0.000 0.000
Re 0.000 0.000 1.950
Nb 1.898 1.898 1.950
```

Calculated values
DFT total energy	-42.5	eV for the cell shown
calculated volume	56.2	Å³ per cell
distance to the lowest polymorph of the same formula	11	meV per atom

---

# 9
Density functional theory data (GGA-PBE) for crystalline TcAgPd2 at its relaxed geometry.

```
8
Lattice="7.171 0.000 0.000 0.000 7.171 0.000 3.585 3.585 2.775" Properties=species:S:1:pos:R:3 pbc="T T T"
Ag 0.000 0.000 0.000
Ag 7.171 3.585 1.387
Pd 1.918 5.378 0.694
Pd 5.253 1.793 0.694
Pd 8.963 8.838 2.081
Pd 5.378 5.503 2.081
Tc 3.585 3.585 0.000
Tc 3.585 7.171 1.387
```

Calculated values
DFT total energy	-41.7	eV for the cell shown
calculated volume	142.7	Å³ per cell
distance to the lowest polymorph of the same formula	661	meV per atom
E_form	683.9	meV per atom

---

# 10
Density functional theory data (GGA-PBE) for crystalline TaGeRh at its relaxed geometry.

```
3
Lattice="2.952 0.000 0.000 0.000 2.952 0.000 -1.476 -1.476 5.323" Properties=species:S:1:pos:R:3 pbc="T T T"
Rh 0.000 0.000 3.404
Ta 0.000 0.000 0.030
Ge 1.476 1.476 1.889
```

Calculated values
DFT total energy	-24.9	eV for the cell shown
calculated volume	46.4	Å³ per cell
E_form	-375.4	meV per atom

---

# 11
Density functional theory data (GGA-PBE) for crystalline MnCu2Pt at its relaxed geometry.

```
4
Lattice="-4.502 0.938 -0.673 -2.111 -3.632 -1.987 2.741 0.360 3.736" Properties=species:S:1:pos:R:3 pbc="T T T"
Cu -6.613 -2.695 -2.660
Cu -3.307 -1.347 -1.330
Mn -2.534 -0.025 0.866
Pt -1.338 -2.310 0.209
```

Calculated values
DFT total energy	-24.1	eV for the cell shown
calculated volume	54.0	Å³ per cell
E_form	-185.1	meV per atom

---

# 12
Density functional theory data (GGA-PBE) for crystalline Np2SF at its relaxed geometry.

```
4
Lattice="-2.295 2.585 0.971 -3.446 -0.194 -0.990 -3.639 -3.290 6.800" Properties=species:S:1:pos:R:3 pbc="T T T"
S -4.690 -0.449 3.390
F 0.000 0.000 0.000
Np -6.226 1.241 1.896
Np -3.153 -2.140 4.884
```

Calculated values
DFT total energy	-37.4	eV for the cell shown
calculated volume	90.7	Å³ per cell

---

What is the formula in the first record?
Al2FeW

---

The lowest calculated volume belongs to which entry?
TaGeRh